1.
VASP calculation (PBE-GGA) on a geometry-optimized YSiSb2 structure. Values from VASP.

Geometry as Quantum ESPRESSO input:
```
&SYSTEM
  ibrav = 0, nat = 4, ntyp = 3
/
ATOMIC_SPECIES
Si 28.09 Si.upf
Sb 121.76 Sb.upf
Y 88.91 Y.upf
CELL_PARAMETERS angstrom
-3.4166 3.0945 -3.5530
1.6795 -0.3201 -5.5633
-1.7029 -3.3352 4.4553
ATOMIC_POSITIONS crystal
Si 0.5157 0.5157 0.0000
Sb 0.7258 0.2258 0.5000
Sb 0.9886 0.9886 0.0000
Y 0.2699 0.7699 0.5000
```

Computed properties:
* ΔE_f (raw): -265 meV/atom

2.
VASP calculation (PBE-GGA) on a geometry-optimized Y2SiSb structure. Values from VASP.

Geometry as Quantum ESPRESSO input:
```
&SYSTEM
  ibrav = 0, nat = 4, ntyp = 3
/
ATOMIC_SPECIES
Y 88.91 Y.upf
Sb 121.76 Sb.upf
Si 28.09 Si.upf
CELL_PARAMETERS angstrom
-2.3724 -0.8276 -3.1416
-0.5302 -3.3058 1.2713
-5.8578 0.4645 4.3012
ATOMIC_POSITIONS crystal
Y 0.0000 0.9896 0.9839
Y 0.0000 0.5104 0.5161
Sb 0.5000 0.2500 0.2500
Si 0.5000 0.7500 0.7500
```

Computed properties:
* energy above the most stable polymorph in this dataset: 166.0 meV per atom
* ΔE_f (raw): -652 meV/atom

3.
VASP calculation (PBE-GGA) on a geometry-optimized Y2SiSb structure. Values from VASP.

Geometry as Quantum ESPRESSO input:
```
&SYSTEM
  ibrav = 0, nat = 4, ntyp = 3
/
ATOMIC_SPECIES
Y 88.91 Y.upf
Sb 121.76 Sb.upf
Si 28.09 Si.upf
CELL_PARAMETERS angstrom
-0.2666 6.9334 -5.9901
-2.7224 4.4575 -7.5328
-3.8739 6.8086 -4.7603
ATOMIC_POSITIONS crystal
Y 0.0133 0.0133 0.0133
Sb 0.4827 0.4827 0.4827
Si 0.7603 0.7603 0.7603
Y 0.2437 0.2437 0.2437
```

Computed properties:
* energy above the most stable polymorph in this dataset: 786.6 meV per atom
* ΔE_f (raw): -32 meV/atom

4.
VASP calculation (PBE-GGA) on a geometry-optimized YSiSb structure. Values from VASP.

Geometry as Quantum ESPRESSO input:
```
&SYSTEM
  ibrav = 0, nat = 3, ntyp = 3
/
ATOMIC_SPECIES
Si 28.09 Si.upf
Sb 121.76 Sb.upf
Y 88.91 Y.upf
CELL_PARAMETERS angstrom
4.9440 0.0000 0.0000
2.4720 4.2816 0.0000
2.4720 1.4272 4.0368
ATOMIC_POSITIONS crystal
Si 0.5000 0.5000 0.5000
Sb 0.0000 0.0000 0.0000
Y 0.7500 0.7500 0.7500
```

Computed properties:
* energy above the most stable polymorph in this dataset: 626.4 meV per atom
* ΔE_f (raw): -19 meV/atom

5.
VASP calculation (PBE-GGA) on a geometry-optimized YSiSb3 structure. Values from VASP.

Geometry as Quantum ESPRESSO input:
```
&SYSTEM
  ibrav = 0, nat = 5, ntyp = 3
/
ATOMIC_SPECIES
Y 88.91 Y.upf
Sb 121.76 Sb.upf
Si 28.09 Si.upf
CELL_PARAMETERS angstrom
-4.8277 1.4257 2.7315
-3.0806 -2.1367 -4.3295
-0.0587 -5.1188 2.5679
ATOMIC_POSITIONS crystal
Y 0.0000 0.0000 0.0000
Sb 0.0000 0.5000 0.0000
Si 0.5000 0.5000 0.5000
Sb 0.5000 0.0000 0.0000
Sb 0.0000 0.0000 0.5000
```

Computed properties:
* energy above the most stable polymorph in this dataset: 605.4 meV per atom
* ΔE_f (raw): 805 meV/atom

6.
VASP calculation (PBE-GGA) on a geometry-optimized YSiSb3 structure. Values from VASP.

Geometry as Quantum ESPRESSO input:
```
&SYSTEM
  ibrav = 0, nat = 5, ntyp = 3
/
ATOMIC_SPECIES
Y 88.91 Y.upf
Si 28.09 Si.upf
Sb 121.76 Sb.upf
CELL_PARAMETERS angstrom
5.2223 0.0000 0.0000
0.0000 5.2223 0.0000
0.0000 0.0000 5.2223
ATOMIC_POSITIONS crystal
Y 0.5000 0.5000 0.5000
Si 0.0000 0.0000 0.0000
Sb 0.0000 0.5000 0.0000
Sb 0.0000 0.0000 0.5000
Sb 0.5000 0.0000 0.0000
```

Computed properties:
* energy above the most stable polymorph in this dataset: 0.0 meV per atom
* ΔE_f (raw): 200 meV/atom

7.
VASP calculation (PBE-GGA) on a geometry-optimized YSiSb structure. Values from VASP.

Geometry as Quantum ESPRESSO input:
```
&SYSTEM
  ibrav = 0, nat = 3, ntyp = 3
/
ATOMIC_SPECIES
Y 88.91 Y.upf
Si 28.09 Si.upf
Sb 121.76 Sb.upf
CELL_PARAMETERS angstrom
-0.1310 -0.2011 -5.6571
-0.4316 -3.6331 -4.3211
-3.5187 -0.1276 -1.1209
ATOMIC_POSITIONS crystal
Y 0.6715 0.6715 0.3285
Si 0.3471 0.3471 0.6529
Sb 0.9814 0.9814 0.0186
```

Computed properties:
* energy above the most stable polymorph in this dataset: 314.0 meV per atom
* ΔE_f (raw): -332 meV/atom

8.
VASP calculation (PBE-GGA) on a geometry-optimized Y2SiSb structure. Values from VASP.

Geometry as Quantum ESPRESSO input:
```
&SYSTEM
  ibrav = 0, nat = 4, ntyp = 3
/
ATOMIC_SPECIES
Y 88.91 Y.upf
Si 28.09 Si.upf
Sb 121.76 Sb.upf
CELL_PARAMETERS angstrom
3.5548 -0.0027 0.0000
-0.7602 3.4726 0.0000
0.0000 0.0000 8.1306
ATOMIC_POSITIONS crystal
Y 0.0000 0.0000 0.9797
Si 0.5000 0.5000 0.7500
Y 0.0000 0.0000 0.5203
Sb 0.5000 0.5000 0.2500
```

Computed properties:
* energy above the most stable polymorph in this dataset: 165.2 meV per atom
* ΔE_f (raw): -653 meV/atom

Question: What is the formula in the seventh record?
Answer: YSiSb

Question: Look up the ΔE_f (raw) of the eighth one.
Answer: -653 meV/atom

Question: Among the records above, which one has the lowest ΔE_f (raw)?
Answer: number 8

Question: Which formula does entry 1 have?
Answer: YSiSb2